1.
VASP calculation (PBE) on a relaxed LuAlB4 crystal.

Computed properties:
Calculated total energy: -151.9 eV per cell

Lattice parameters (Å, degrees): 5.8943 11.4221 3.4974 90.00 90.00 90.00
With the nearest neighbours (Å) after each atom.
Fractional coordinates of all 24 atoms:
Lu 0.1302 0.1501 0.0000  14 B 2.59-2.72
Lu 0.3698 0.6501 0.0000  14 B 2.59-2.72
Lu 0.6302 0.3499 0.0000  14 B 2.59-2.72
Lu 0.8698 0.8499 0.0000  14 B 2.59-2.72
Al 0.1384 0.4097 0.0000  10 B 2.26-2.36
Al 0.3616 0.9097 0.0000  10 B 2.26-2.36
Al 0.6384 0.0903 0.0000  10 B 2.26-2.36
Al 0.8616 0.5903 0.0000  10 B 2.26-2.36
B 0.0254 0.6932 0.5000  3 B 1.74-1.87
B 0.1145 0.5475 0.5000  3 B 1.73-1.75
B 0.1325 0.9691 0.5000  3 B 1.71-1.84
B 0.2086 0.8125 0.5000  3 B 1.74-1.87
B 0.2914 0.3125 0.5000  3 B 1.74-1.87
B 0.3675 0.4691 0.5000  3 B 1.71-1.84
B 0.3855 0.0475 0.5000  3 B 1.73-1.75
B 0.4746 0.1932 0.5000  3 B 1.74-1.87
B 0.5254 0.8068 0.5000  3 B 1.74-1.87
B 0.6145 0.9525 0.5000  3 B 1.73-1.75
B 0.6325 0.5309 0.5000  3 B 1.71-1.84
B 0.7086 0.6875 0.5000  3 B 1.74-1.87
B 0.7914 0.1875 0.5000  3 B 1.74-1.87
B 0.8675 0.0309 0.5000  3 B 1.71-1.84
B 0.8855 0.4525 0.5000  3 B 1.73-1.75
B 0.9746 0.3068 0.5000  3 B 1.74-1.87

=====

2.
VASP calculation (PBE) on a relaxed ScBeNiBi crystal.

Computed properties:
Energy relative to the lowest polymorph listed for this composition: 106 meV per atom

Lattice parameters (Å, degrees): 4.6261 4.6261 4.6261 60.00 60.00 60.00
With the nearest neighbours (Å) after each atom.
Fractional coordinates of all 4 atoms:
Sc 0.0000 0.0000 0.0000  4 Bi 2.83, 4 Ni 2.83
Be 0.5000 0.5000 0.5000  4 Bi 2.83, 4 Ni 2.83
Ni 0.2500 0.2500 0.2500  4 Be 2.83, 4 Sc 2.83
Bi 0.7500 0.7500 0.7500  4 Be 2.83, 4 Sc 2.83